This record from Alexandria describes ErLu3Rh after structural relaxation. The functional is PBE.

Geometry as extended XYZ:
```
5
Lattice="5.283 0.000 0.000 0.000 5.283 0.000 0.000 0.000 5.283" Properties=species:S:1:pos:R:3 pbc="T T T"
Lu 0.000 0.000 2.641
Lu 0.000 2.641 0.000
Lu 2.641 0.000 0.000
Er 2.641 2.641 2.641
Rh 0.000 0.000 0.000
```

Properties
* spin magnetization: 0.0 μB per formula unit
* D(E_F): 7.0 states/eV/f.u.
* E: -5.357 eV/atom
* ΔE_f: -0.262 eV/atom